# ThSc9In2, relaxed, DFT GGA-PBE
data_ThSc9In2
_symmetry_space_group_name_H-M 'P 4/m m m'
_symmetry_Int_Tables_number 123
_symmetry_space_group_name_Hall '-P 4 2'
_cell_length_a 4.589
_cell_length_b 4.589
_cell_length_c 13.782
_cell_angle_alpha 90.00
_cell_angle_beta 90.00
_cell_angle_gamma 90.00
loop_
_atom_site_label
_atom_site_type_symbol
_atom_site_fract_x
_atom_site_fract_y
_atom_site_fract_z
_atom_site_occupancy
Th1 Th 0.000 0.000 0.000 1
Sc1 Sc 0.000 0.500 0.173 1
Sc2 Sc 0.000 0.500 0.500 1
Sc3 Sc 0.500 0.500 0.000 1
Sc4 Sc 0.500 0.500 0.340 1
In1 In 0.000 0.000 0.338 1
# - ΔH_f (0 K): -0.156 eV per atom